Crystalline Pm4HoEr2Th at its relaxed geometry, computed with PBE.

Geometry as CIF:
```
data_Pm4HoEr2Th
_cell_length_a 5.997
_cell_length_b 5.997
_cell_length_c 7.300
_cell_angle_alpha 90.00
_cell_angle_beta 90.00
_cell_angle_gamma 90.00
_symmetry_space_group_name_H-M 'P 4/m m m'
_symmetry_Int_Tables_number 123
_symmetry_space_group_name_Hall '-P 4 2'
loop_
_atom_site_label
_atom_site_type_symbol
_atom_site_fract_x
_atom_site_fract_y
_atom_site_fract_z
Pm1 Pm 0.000 0.500 0.249
Ho1 Ho 0.000 0.000 0.500
Er1 Er 0.000 0.000 0.000
Er2 Er 0.500 0.500 0.500
Th1 Th 0.500 0.500 0.000
```

---

Crystalline PmHoEr5Th2 at its relaxed geometry, computed with PBE.

Geometry as CIF:
```
data_PmHoEr5Th2
_cell_length_a 8.709
_cell_length_b 8.709
_cell_length_c 15.419
_cell_angle_alpha 90.00
_cell_angle_beta 90.00
_cell_angle_gamma 90.00
_symmetry_space_group_name_H-M 'I 4/m c m'
_symmetry_Int_Tables_number 140
_symmetry_space_group_name_Hall '-I 4 2c'
loop_
_atom_site_label
_atom_site_type_symbol
_atom_site_fract_x
_atom_site_fract_y
_atom_site_fract_z
Pm1 Pm 0.000 0.500 0.250
Ho1 Ho 0.000 0.000 0.250
Er1 Er 0.000 0.000 0.000
Er2 Er 0.209 0.291 0.140
Th1 Th 0.119 0.381 0.500
```

---

Crystalline Pm3Ho2Er6Th at its relaxed geometry, computed with PBE.

Geometry as CIF:
```
data_Pm3Ho2Er6Th
_cell_length_a 6.161
_cell_length_b 10.670
_cell_length_c 11.733
_cell_angle_alpha 90.00
_cell_angle_beta 100.10
_cell_angle_gamma 90.00
_symmetry_space_group_name_H-M 'C 1 2/m 1'
_symmetry_Int_Tables_number 12
_symmetry_space_group_name_Hall '-C 2y'
loop_
_atom_site_label
_atom_site_type_symbol
_atom_site_fract_x
_atom_site_fract_y
_atom_site_fract_z
Pm1 Pm 0.000 0.000 0.000
Pm2 Pm 0.000 0.333 0.000
Ho1 Ho 0.000 0.167 0.500
Er1 Er 0.247 0.500 0.253
Er2 Er 0.248 0.335 0.747
Th1 Th 0.000 0.500 0.500
```

---

Crystalline PmHoErTh2 at its relaxed geometry, computed with PBE.

Geometry as CIF:
```
data_PmHoErTh2
_cell_length_a 6.657
_cell_length_b 15.643
_cell_length_c 6.659
_cell_angle_alpha 90.00
_cell_angle_beta 90.00
_cell_angle_gamma 90.00
_symmetry_space_group_name_H-M 'C m c m'
_symmetry_Int_Tables_number 63
_symmetry_space_group_name_Hall '-C 2c 2'
loop_
_atom_site_label
_atom_site_type_symbol
_atom_site_fract_x
_atom_site_fract_y
_atom_site_fract_z
Pm1 Pm 0.000 0.152 0.250
Ho1 Ho 0.000 0.260 0.750
Er1 Er 0.000 0.348 0.250
Th1 Th 0.247 0.500 0.000
```

---

Crystalline PmHoErTh at its relaxed geometry, computed with PBE.

Geometry as CIF:
```
data_PmHoErTh
_cell_length_a 3.5869
_cell_length_b 3.5869
_cell_length_c 34.4850
_cell_angle_alpha 90.00
_cell_angle_beta 90.00
_cell_angle_gamma 120.00
_symmetry_space_group_name_H-M 'R 3 m'
_symmetry_Int_Tables_number 160
_symmetry_space_group_name_Hall 'R 3 -2"'
loop_
_atom_site_label
_atom_site_type_symbol
_atom_site_fract_x
_atom_site_fract_y
_atom_site_fract_z
Pm1 Pm 0.0000 0.0000 0.0000
Ho1 Ho 0.0000 0.0000 0.2481
Er1 Er 0.0000 0.0000 0.4193
Th1 Th 0.0000 0.0000 0.8337
```

polymorph energy (0 for the lowest one) = 0.00 eV/f.u.

---

Crystalline PmHo2Er5Th at its relaxed geometry, computed with PBE.

Geometry as CIF:
```
data_PmHo2Er5Th
_cell_length_a 8.745
_cell_length_b 8.745
_cell_length_c 14.894
_cell_angle_alpha 90.00
_cell_angle_beta 90.00
_cell_angle_gamma 90.00
_symmetry_space_group_name_H-M 'I 4/m c m'
_symmetry_Int_Tables_number 140
_symmetry_space_group_name_Hall '-I 4 2c'
loop_
_atom_site_label
_atom_site_type_symbol
_atom_site_fract_x
_atom_site_fract_y
_atom_site_fract_z
Pm1 Pm 0.000 0.500 0.250
Ho1 Ho 0.114 0.386 0.000
Er1 Er 0.000 0.000 0.000
Er2 Er 0.208 0.292 0.364
Th1 Th 0.000 0.000 0.250
```

---

Crystalline Pm6HoEr2Th at its relaxed geometry, computed with PBE.

Geometry as CIF:
```
data_Pm6HoEr2Th
_cell_length_a 9.366
_cell_length_b 15.008
_cell_length_c 9.593
_cell_angle_alpha 90.00
_cell_angle_beta 96.78
_cell_angle_gamma 90.00
_symmetry_space_group_name_H-M 'C 1 2/c 1'
_symmetry_Int_Tables_number 15
_symmetry_space_group_name_Hall '-C 2yc'
loop_
_atom_site_label
_atom_site_type_symbol
_atom_site_fract_x
_atom_site_fract_y
_atom_site_fract_z
Pm1 Pm 0.062 0.174 0.441
Pm2 Pm 0.094 0.389 0.617
Pm3 Pm 0.210 0.218 0.812
Ho1 Ho 0.000 0.410 0.250
Er1 Er 0.249 0.046 0.052
Th1 Th 0.000 0.032 0.750
```

---

Crystalline Pm3HoErTh at its relaxed geometry, computed with PBE.

Geometry as CIF:
```
data_Pm3HoErTh
_cell_length_a 8.037
_cell_length_b 5.090
_cell_length_c 10.184
_cell_angle_alpha 90.00
_cell_angle_beta 108.77
_cell_angle_gamma 90.00
_symmetry_space_group_name_H-M 'P 1 21/m 1'
_symmetry_Int_Tables_number 11
_symmetry_space_group_name_Hall '-P 2yb'
loop_
_atom_site_label
_atom_site_type_symbol
_atom_site_fract_x
_atom_site_fract_y
_atom_site_fract_z
Pm1 Pm 0.170 0.250 0.292
Pm2 Pm 0.171 0.750 0.543
Pm3 Pm 0.177 0.750 0.045
Ho1 Ho 0.178 0.250 0.794
Er1 Er 0.499 0.250 0.627
Th1 Th 0.499 0.750 0.878
```

---

Crystalline Pm2Ho6Er3Th at its relaxed geometry, computed with PBE.

Geometry as CIF:
```
data_Pm2Ho6Er3Th
_cell_length_a 6.155
_cell_length_b 10.647
_cell_length_c 11.734
_cell_angle_alpha 90.00
_cell_angle_beta 100.05
_cell_angle_gamma 90.00
_symmetry_space_group_name_H-M 'C 1 2/m 1'
_symmetry_Int_Tables_number 12
_symmetry_space_group_name_Hall '-C 2y'
loop_
_atom_site_label
_atom_site_type_symbol
_atom_site_fract_x
_atom_site_fract_y
_atom_site_fract_z
Pm1 Pm 0.000 0.167 0.000
Ho1 Ho 0.245 0.500 0.748
Ho2 Ho 0.250 0.165 0.748
Er1 Er 0.000 0.000 0.500
Er2 Er 0.000 0.333 0.500
Th1 Th 0.000 0.500 0.000
```

---

Crystalline Pm6Ho3ErTh2 at its relaxed geometry, computed with PBE.

Geometry as CIF:
```
data_Pm6Ho3ErTh2
_cell_length_a 6.227
_cell_length_b 10.773
_cell_length_c 11.948
_cell_angle_alpha 90.00
_cell_angle_beta 100.03
_cell_angle_gamma 90.00
_symmetry_space_group_name_H-M 'C 1 2/m 1'
_symmetry_Int_Tables_number 12
_symmetry_space_group_name_Hall '-C 2y'
loop_
_atom_site_label
_atom_site_type_symbol
_atom_site_fract_x
_atom_site_fract_y
_atom_site_fract_z
Pm1 Pm 0.247 0.000 0.249
Pm2 Pm 0.249 0.168 0.752
Ho1 Ho 0.000 0.000 0.500
Ho2 Ho 0.000 0.333 0.500
Er1 Er 0.000 0.500 0.000
Th1 Th 0.000 0.166 0.000
```

---

Crystalline Pm2HoErTh at its relaxed geometry, computed with PBE.

Geometry as CIF:
```
data_Pm2HoErTh
_cell_length_a 8.431
_cell_length_b 6.373
_cell_length_c 6.367
_cell_angle_alpha 90.00
_cell_angle_beta 90.38
_cell_angle_gamma 90.00
_symmetry_space_group_name_H-M 'P 1 2/c 1'
_symmetry_Int_Tables_number 13
_symmetry_space_group_name_Hall '-P 2yc'
loop_
_atom_site_label
_atom_site_type_symbol
_atom_site_fract_x
_atom_site_fract_y
_atom_site_fract_z
Pm1 Pm 0.191 0.211 0.252
Ho1 Ho 0.500 0.500 0.000
Er1 Er 0.000 0.310 0.750
Th1 Th 0.500 0.056 0.750
```

---

Crystalline Pm6HoEr3Th2 at its relaxed geometry, computed with PBE.

Geometry as CIF:
```
data_Pm6HoEr3Th2
_cell_length_a 6.224
_cell_length_b 10.769
_cell_length_c 11.930
_cell_angle_alpha 90.00
_cell_angle_beta 100.03
_cell_angle_gamma 90.00
_symmetry_space_group_name_H-M 'C 1 2/m 1'
_symmetry_Int_Tables_number 12
_symmetry_space_group_name_Hall '-C 2y'
loop_
_atom_site_label
_atom_site_type_symbol
_atom_site_fract_x
_atom_site_fract_y
_atom_site_fract_z
Pm1 Pm 0.247 0.000 0.249
Pm2 Pm 0.249 0.168 0.751
Ho1 Ho 0.000 0.500 0.000
Er1 Er 0.000 0.000 0.500
Er2 Er 0.000 0.333 0.500
Th1 Th 0.000 0.166 0.000
```

---

Per-record magnetization, μB/f.u.: 0.00, 0.00, 0.00, 0.00, 0.00, 0.00, 0.00, 0.00, 0.00, 0.00, 0.00, 0.00
Per-record formation enthalpy at 0 K, kJ per mole of atoms: 13.5, 32.6, 1.9, 40.9, 1.2, 30.7, 13.9, 2.7, 3.0, 3.6, 30.2, 3.7